1.
## Ba2NbSbP (GGA-PBEsol)

Data for a relaxed structure of Ba2NbSbP.

Results
Space-group type: No. 123
Raw formation energy, eV per atom: 0.124
Size of the total moment, μB per cell: 0.00
Final energy, eV per cell: -24.85

Cell lengths 5.9754, 5.9754, 4.6794 Å; angles 90.00, 90.00, 90.00 degrees
Last column: nearest neighbours and their distance in Å.
Fractional coordinates of all 5 atoms:
Ba 0.0000 0.5000 0.0000  2 Nb 2.99
Ba 0.5000 0.0000 0.0000  2 Nb 2.99
Nb 0.0000 0.0000 0.0000  2 P 2.34
Sb 0.5000 0.5000 0.5000  8 Ba 3.79, 4 P 4.23
P 0.0000 0.0000 0.5000  2 Nb 2.34

=====

2.
## BaScNb2P (GGA-PBEsol)

Data for a relaxed structure of BaScNb2P.

Results
Space-group type: No. 123
Calculated formation energy, eV per atom: 1.54
Size of the total moment, μB per cell: 0.64
Final energy, eV per cell: -28.50

Cell lengths 4.7344, 4.7344, 5.8083 Å; angles 90.00, 90.00, 90.00 degrees
Last column: nearest neighbours and their distance in Å.
Fractional coordinates of all 5 atoms:
Ba 0.0000 0.0000 0.0000  2 Sc 2.90
Sc 0.0000 0.0000 0.5000  4 Nb 2.37
Nb 0.0000 0.5000 0.5000  2 Sc 2.37
Nb 0.5000 0.0000 0.5000  2 Sc 2.37
P 0.5000 0.5000 0.0000  4 Ba 3.35, 8 Nb 3.75

=====

3.
## Ba2NbSnP (GGA-PBEsol)

Data for a relaxed structure of Ba2NbSnP.

Results
Space-group type: No. 123
Calculated formation energy, eV per atom: 0.53
Size of the total moment, μB per cell: 4.43
Final energy, eV per cell: -22.53

Cell lengths 6.0519, 6.0519, 5.0103 Å; angles 90.00, 90.00, 90.00 degrees
Last column: nearest neighbours and their distance in Å.
Fractional coordinates of all 5 atoms:
Ba 0.0000 0.5000 0.0000  2 P 3.03
Ba 0.5000 0.0000 0.0000  2 P 3.03
Nb 0.0000 0.0000 0.5000  8 Ba 3.93, 4 Sn 4.28
Sn 0.5000 0.5000 0.5000  2 P 2.51
P 0.5000 0.5000 0.0000  2 Sn 2.51

=====

4.
## BaNb3Pb (GGA-PBEsol)

Data for a relaxed structure of BaNb3Pb.

Results
Space-group type: No. 221
Calculated formation energy, eV per atom: 1.74
Size of the total moment, μB per cell: 0.03
Final energy, eV per cell: -29.93

Cell lengths 5.2783, 5.2783, 5.2783 Å; angles 90.00, 90.00, 90.00 degrees
Last column: nearest neighbours and their distance in Å.
Fractional coordinates of all 5 atoms:
Ba 0.0000 0.0000 0.0000  12 Nb 3.73
Nb 0.0000 0.5000 0.5000  2 Pb 2.64
Nb 0.5000 0.0000 0.5000  2 Pb 2.64
Nb 0.5000 0.5000 0.0000  2 Pb 2.64
Pb 0.5000 0.5000 0.5000  6 Nb 2.64

=====

5.
## BaZr2NbPb (GGA-PBEsol)

Data for a relaxed structure of BaZr2NbPb.

Results
Space-group type: No. 123
Calculated formation energy, eV per atom: 1.19
Size of the total moment, μB per cell: 0.92
Final energy, eV per cell: -29.18

Cell lengths 5.4949, 5.4949, 5.3285 Å; angles 90.00, 90.00, 90.00 degrees
Last column: nearest neighbours and their distance in Å.
Fractional coordinates of all 5 atoms:
Ba 0.0000 0.0000 0.0000  8 Zr 3.83, 4 Nb 3.89
Zr 0.0000 0.5000 0.5000  2 Pb 2.75
Zr 0.5000 0.0000 0.5000  2 Pb 2.75
Nb 0.5000 0.5000 0.0000  2 Pb 2.66
Pb 0.5000 0.5000 0.5000  2 Nb 2.66, 4 Zr 2.75

=====

6.
## RbBaNb2 (GGA-PBEsol)

Data for a relaxed structure of RbBaNb2.

Results
Space-group type: No. 225
Calculated formation energy, eV per atom: 2.03
Size of the total moment, μB per cell: 0.00
Final energy, eV per cell: -66.74

Cell lengths 7.4493, 7.4493, 7.4493 Å; angles 90.00, 90.00, 90.00 degrees
Last column: nearest neighbours and their distance in Å.
Fractional coordinates of all 16 atoms:
Rb 0.0000 0.0000 0.0000  8 Nb 3.23
Rb 0.0000 0.5000 0.5000  8 Nb 3.23
Rb 0.5000 0.0000 0.5000  8 Nb 3.23
Rb 0.5000 0.5000 0.0000  8 Nb 3.23
Ba 0.0000 0.0000 0.5000  8 Nb 3.23
Ba 0.0000 0.5000 0.0000  8 Nb 3.23
Ba 0.5000 0.0000 0.0000  8 Nb 3.23
Ba 0.5000 0.5000 0.5000  8 Nb 3.23
Nb 0.2500 0.2500 0.2500  4 Ba 3.23, 4 Rb 3.23
Nb 0.2500 0.2500 0.7500  4 Ba 3.23, 4 Rb 3.23
Nb 0.2500 0.7500 0.2500  4 Ba 3.23, 4 Rb 3.23
Nb 0.2500 0.7500 0.7500  4 Ba 3.23, 4 Rb 3.23
Nb 0.7500 0.2500 0.2500  4 Ba 3.23, 4 Rb 3.23
Nb 0.7500 0.2500 0.7500  4 Ba 3.23, 4 Rb 3.23
Nb 0.7500 0.7500 0.2500  4 Ba 3.23, 4 Rb 3.23
Nb 0.7500 0.7500 0.7500  4 Ba 3.23, 4 Rb 3.23

=====

7.
## Rb2BaNb2Se11 (GGA-PBEsol)

Data for a relaxed structure of Rb2BaNb2Se11.

Results
Space-group type: No. 14
Raw formation energy, eV per atom: -0.890
Size of the total moment, μB per cell: 0.00
Final energy, eV per cell: -329.74

Cell lengths 7.7991, 13.8027, 16.8761 Å; angles 90.00, 96.82, 90.00 degrees
Last column: nearest neighbours and their distance in Å.
Fractional coordinates of all 64 atoms:
Rb 0.2039 0.1180 0.2302  9 Se 3.35-3.73
Rb 0.2039 0.3820 0.7302  9 Se 3.35-3.73
Rb 0.2347 0.0423 0.9137  8 Se 3.36-3.74
Rb 0.2347 0.4577 0.4137  8 Se 3.36-3.74
Rb 0.7653 0.5423 0.5863  8 Se 3.36-3.74
Rb 0.7653 0.9577 0.0863  8 Se 3.36-3.74
Rb 0.7961 0.6180 0.2698  9 Se 3.35-3.73
Rb 0.7961 0.8820 0.7698  9 Se 3.35-3.73
Ba 0.2506 0.1240 0.5307  9 Se 3.30-3.47
Ba 0.2506 0.3760 0.0307  9 Se 3.30-3.47
Ba 0.7494 0.6240 0.9693  9 Se 3.30-3.47
Ba 0.7494 0.8760 0.4693  9 Se 3.30-3.47
Nb 0.2205 0.7189 0.8943  5 Se 2.38-2.65
Nb 0.2205 0.7811 0.3943  5 Se 2.38-2.65
Nb 0.3575 0.6713 0.6965  4 Se 2.35-2.61
Nb 0.3575 0.8287 0.1965  4 Se 2.35-2.61
Nb 0.6425 0.1713 0.8035  4 Se 2.35-2.61
Nb 0.6425 0.3287 0.3035  4 Se 2.35-2.61
Nb 0.7795 0.2189 0.6057  5 Se 2.38-2.65
Nb 0.7795 0.2811 0.1057  5 Se 2.38-2.65
Se 0.0055 0.6890 0.4497  1 Nb 2.38
Se 0.0055 0.8110 0.9497  1 Nb 2.38
Se 0.0525 0.6769 0.7483  1 Se 2.44, 2 Nb 2.63-2.71
Se 0.0525 0.8231 0.2483  1 Se 2.44, 2 Nb 2.63-2.71
Se 0.0959 0.5437 0.8941  1 Nb 2.61, 1 Se 2.90
Se 0.0959 0.9563 0.3941  1 Nb 2.61, 1 Se 2.90
Se 0.1221 0.7016 0.1518  1 Se 2.44, 1 Nb 2.59
Se 0.1221 0.7984 0.6518  1 Se 2.44, 1 Nb 2.59
Se 0.2918 0.5517 0.5987  1 Nb 2.35
Se 0.2918 0.9483 0.0987  1 Nb 2.35
Se 0.3348 0.1335 0.7321  1 Se 2.43, 1 Nb 2.61
Se 0.3348 0.3665 0.2321  1 Se 2.43, 1 Nb 2.61
Se 0.3355 0.6221 0.0254  1 Se 2.46, 1 Nb 2.65
Se 0.3355 0.8779 0.5254  1 Se 2.46, 1 Nb 2.65
Se 0.3534 0.6603 0.2998  1 Se 2.44, 1 Nb 2.61
Se 0.3534 0.8397 0.7998  1 Se 2.44, 1 Nb 2.61
Se 0.4192 0.5711 0.8281  1 Se 2.43, 1 Nb 2.61
Se 0.4192 0.9289 0.3281  1 Se 2.43, 1 Nb 2.61
Se 0.4546 0.2181 0.3867  1 Se 2.46, 1 Nb 2.63
Se 0.4546 0.2819 0.8867  1 Se 2.46, 1 Nb 2.63
Se 0.4948 0.6838 0.4350  1 Se 2.44, 1 Nb 2.55
Se 0.4948 0.8162 0.9350  1 Se 2.44, 1 Nb 2.55
Se 0.5052 0.1838 0.0650  1 Se 2.44, 1 Nb 2.55
Se 0.5052 0.3162 0.5650  1 Se 2.44, 1 Nb 2.55
Se 0.5454 0.7181 0.1133  1 Se 2.46, 1 Nb 2.63
Se 0.5454 0.7819 0.6133  1 Se 2.46, 1 Nb 2.63
Se 0.5808 0.0711 0.6719  1 Se 2.43, 1 Nb 2.61
Se 0.5808 0.4289 0.1719  1 Se 2.43, 1 Nb 2.61
Se 0.6466 0.1603 0.2002  1 Se 2.44, 1 Nb 2.61
Se 0.6466 0.3397 0.7002  1 Se 2.44, 1 Nb 2.61
Se 0.6645 0.1221 0.4746  1 Se 2.46, 1 Nb 2.65
Se 0.6645 0.3779 0.9746  1 Se 2.46, 1 Nb 2.65
Se 0.6652 0.6335 0.7679  1 Se 2.43, 1 Nb 2.61
Se 0.6652 0.8665 0.2679  1 Se 2.43, 1 Nb 2.61
Se 0.7082 0.0517 0.9013  1 Nb 2.35
Se 0.7082 0.4483 0.4013  1 Nb 2.35
Se 0.8779 0.2016 0.3482  1 Se 2.44, 1 Nb 2.59
Se 0.8779 0.2984 0.8482  1 Se 2.44, 1 Nb 2.59
Se 0.9041 0.0437 0.6059  1 Nb 2.61, 1 Se 2.90
Se 0.9041 0.4563 0.1059  1 Nb 2.61, 1 Se 2.90
Se 0.9475 0.1769 0.7517  1 Se 2.44, 2 Nb 2.63-2.71
Se 0.9475 0.3231 0.2517  1 Se 2.44, 2 Nb 2.63-2.71
Se 0.9945 0.1890 0.0503  1 Nb 2.38
Se 0.9945 0.3110 0.5503  1 Nb 2.38

=====

8.
## BaNb2ReS (GGA-PBEsol)

Data for a relaxed structure of BaNb2ReS.

Results
Space-group type: No. 123
Raw formation energy, eV per atom: 0.608
Size of the total moment, μB per cell: 0.00
Final energy, eV per cell: -38.47

Cell lengths 4.7591, 4.7591, 4.5201 Å; angles 90.00, 90.00, 90.00 degrees
Last column: nearest neighbours and their distance in Å.
Fractional coordinates of all 5 atoms:
Ba 0.0000 0.0000 0.0000  8 Nb 3.28, 4 Re 3.37
Nb 0.0000 0.5000 0.5000  2 S 2.38
Nb 0.5000 0.0000 0.5000  2 S 2.38
Re 0.5000 0.5000 0.0000  2 S 2.26
S 0.5000 0.5000 0.5000  2 Re 2.26, 4 Nb 2.38

=====

9.
## Ba2YNbRe (GGA-PBEsol)

Data for a relaxed structure of Ba2YNbRe.

Results
Space-group type: No. 123
Calculated formation energy, eV per atom: 1.84
Size of the total moment, μB per cell: 3.66
Final energy, eV per cell: -26.09

Cell lengths 5.7314, 5.7314, 5.2772 Å; angles 90.00, 90.00, 90.00 degrees
Last column: nearest neighbours and their distance in Å.
Fractional coordinates of all 5 atoms:
Ba 0.0000 0.5000 0.0000  2 Nb 2.87
Ba 0.5000 0.0000 0.0000  2 Nb 2.87
Y 0.0000 0.0000 0.5000  2 Nb 2.64
Nb 0.0000 0.0000 0.0000  2 Y 2.64, 4 Ba 2.87
Re 0.5000 0.5000 0.5000  8 Ba 3.90, 4 Y 4.05

=====

10.
## BaNbRh3 (GGA-PBEsol)

Data for a relaxed structure of BaNbRh3.

Results
Space-group type: No. 221
Calculated formation energy, eV per atom: 2.20
Size of the total moment, μB per cell: 1.95
Final energy, eV per cell: -26.41

Cell lengths 4.8693, 4.8693, 4.8693 Å; angles 90.00, 90.00, 90.00 degrees
Last column: nearest neighbours and their distance in Å.
Fractional coordinates of all 5 atoms:
Ba 0.0000 0.0000 0.0000  6 Rh 2.43
Nb 0.5000 0.5000 0.5000  12 Rh 3.44
Rh 0.0000 0.0000 0.5000  2 Ba 2.43
Rh 0.0000 0.5000 0.0000  2 Ba 2.43
Rh 0.5000 0.0000 0.0000  2 Ba 2.43

=====

11.
## BaNbRh2 (GGA-PBEsol)

Data for a relaxed structure of BaNbRh2.

Results
Space-group type: No. 225
Calculated formation energy, eV per atom: 0.45
Size of the total moment, μB per cell: 0.00
Final energy, eV per cell: -109.71

Cell lengths 6.7671, 6.7671, 6.7671 Å; angles 90.00, 90.00, 90.00 degrees
Last column: nearest neighbours and their distance in Å.
Fractional coordinates of all 16 atoms:
Ba 0.0000 0.0000 0.0000  8 Rh 2.93
Ba 0.0000 0.5000 0.5000  8 Rh 2.93
Ba 0.5000 0.0000 0.5000  8 Rh 2.93
Ba 0.5000 0.5000 0.0000  8 Rh 2.93
Nb 0.0000 0.0000 0.5000  8 Rh 2.93
Nb 0.0000 0.5000 0.0000  8 Rh 2.93
Nb 0.5000 0.0000 0.0000  8 Rh 2.93
Nb 0.5000 0.5000 0.5000  8 Rh 2.93
Rh 0.2500 0.2500 0.2500  4 Ba 2.93, 4 Nb 2.93
Rh 0.2500 0.2500 0.7500  4 Ba 2.93, 4 Nb 2.93
Rh 0.2500 0.7500 0.2500  4 Ba 2.93, 4 Nb 2.93
Rh 0.2500 0.7500 0.7500  4 Ba 2.93, 4 Nb 2.93
Rh 0.7500 0.2500 0.2500  4 Ba 2.93, 4 Nb 2.93
Rh 0.7500 0.2500 0.7500  4 Ba 2.93, 4 Nb 2.93
Rh 0.7500 0.7500 0.2500  4 Ba 2.93, 4 Nb 2.93
Rh 0.7500 0.7500 0.7500  4 Nb 2.93, 4 Ba 2.93

=====

12.
## BaNb3Ru (GGA-PBEsol)

Data for a relaxed structure of BaNb3Ru.

Results
Space-group type: No. 221
Calculated formation energy, eV per atom: 2.98
Size of the total moment, μB per cell: 1.27
Final energy, eV per cell: -29.88

Cell lengths 4.9190, 4.9190, 4.9190 Å; angles 90.00, 90.00, 90.00 degrees
Last column: nearest neighbours and their distance in Å.
Fractional coordinates of all 5 atoms:
Ba 0.0000 0.0000 0.0000  6 Nb 2.46
Nb 0.0000 0.0000 0.5000  2 Ba 2.46
Nb 0.0000 0.5000 0.0000  2 Ba 2.46
Nb 0.5000 0.0000 0.0000  2 Ba 2.46
Ru 0.5000 0.5000 0.5000  12 Nb 3.48